A geometry-optimized KInAgAu structure, computed with GGA-PBE.

The structure in POSCAR format:
```
KInAgAu
1.0
4.195 -2.425 0.000
4.195 2.425 0.000
-2.830 0.000 5.974
K In Ag Au
1 1 1 1
direct
0.000 0.000 0.000
0.510 0.510 0.529
0.813 0.813 0.441
0.186 0.186 0.557
```

Total DFT energy (no corrections): -2.68 eV per atom
Energy of formation: -0.19 eV/atom